Entry from Alexandria: a relaxed structure of SrYRe2 (PBEsol).

Space-group type = Fm-3m (225)
Relative energy among the computed polymorphs = 50.26 kJ per mole of atoms
E_form = 1265 meV per atom

abc: 4.896 4.896 4.896
angles: 60.00 60.00 60.00
Sites, in units of the cell vectors:
1 Sr 0.000 0.000 0.000
2 Y 0.500 0.500 0.500
3 Re 0.250 0.250 0.250
4 Re 0.750 0.750 0.750

***

Entry from Alexandria: a relaxed structure of NaTcO3 (PBEsol).

Space-group type = Pm-3m (221)
E = -36.8 eV for the cell shown

abc: 3.811 3.811 3.811
angles: 90.00 90.00 90.00
Sites, in units of the cell vectors:
1 Na 0.000 0.000 0.000
2 Tc 0.500 0.500 0.500
3 O 0.000 0.500 0.500
4 O 0.500 0.000 0.500
5 O 0.500 0.500 0.000

***

Entry from Alexandria: a relaxed structure of Ti6Sn5 (PBEsol).

Space-group type = P6_3/mmc (194)
Relative energy among the computed polymorphs = 0.00 kJ per mole of atoms
E_form = -438 meV per atom

abc: 9.169 9.169 5.636
angles: 90.00 90.00 120.00
Sites, in units of the cell vectors:
1 Ti 0.000 0.500 0.000
2 Ti 0.000 0.500 0.500
3 Ti 0.156 0.313 0.250
4 Ti 0.156 0.844 0.250
5 Ti 0.313 0.156 0.750
6 Ti 0.500 0.000 0.000
7 Ti 0.500 0.000 0.500
8 Ti 0.500 0.500 0.000
9 Ti 0.500 0.500 0.500
10 Ti 0.687 0.844 0.250
11 Ti 0.844 0.156 0.750
12 Ti 0.844 0.687 0.750
13 Sn 0.000 0.000 0.000
14 Sn 0.000 0.000 0.500
15 Sn 0.204 0.409 0.750
16 Sn 0.204 0.796 0.750
17 Sn 0.333 0.667 0.250
18 Sn 0.409 0.204 0.250
19 Sn 0.591 0.796 0.750
20 Sn 0.667 0.333 0.750
21 Sn 0.796 0.204 0.250
22 Sn 0.796 0.591 0.250

***

Entry from Alexandria: a relaxed structure of FePd (PBEsol).

Space-group type = P4/mmm (123)
E_form = -23 meV per atom

abc: 2.656 2.656 3.716
angles: 90.00 90.00 90.00
Sites, in units of the cell vectors:
1 Fe 0.000 0.000 0.000
2 Pd 0.500 0.500 0.500

***

Entry from Alexandria: a relaxed structure of LaMnRuI2 (PBEsol).

Space-group type = P4/mmm (123)
E = -24.8 eV for the cell shown

abc: 6.252 6.252 4.709
angles: 90.00 90.00 90.00
Sites, in units of the cell vectors:
1 La 0.000 0.000 0.000
2 Mn 0.500 0.500 0.500
3 Ru 0.000 0.000 0.500
4 I 0.000 0.500 0.000
5 I 0.500 0.000 0.000

***

Entry from Alexandria: a relaxed structure of CdCoTc (PBEsol).

Space-group type = P3m1 (156)
E_form = 510 meV per atom

abc: 4.300 4.300 2.674
angles: 90.00 90.00 120.00
Sites, in units of the cell vectors:
1 Cd 0.000 0.000 0.000
2 Co 0.333 0.667 0.504
3 Tc 0.667 0.333 0.499

***

Entry from Alexandria: a relaxed structure of Ag2HgIr (PBEsol).

Space-group type = Pmmm (47)
E_form = 335 meV per atom

abc: 2.789 4.213 5.659
angles: 90.00 90.00 90.00
Sites, in units of the cell vectors:
1 Ag 0.000 0.000 0.239
2 Ag 0.000 0.000 0.761
3 Hg 0.500 0.500 0.500
4 Ir 0.500 0.500 0.000

***

Entry from Alexandria: a relaxed structure of LiNi2OF3 (PBEsol).

Space-group type = Pnma (62)
Relative energy among the computed polymorphs = 0.00 kJ per mole of atoms

abc: 10.019 5.757 5.025
angles: 90.00 90.00 90.00
Sites, in units of the cell vectors:
1 Li 0.092 0.250 0.026
2 Li 0.408 0.750 0.526
3 Li 0.592 0.250 0.474
4 Li 0.908 0.750 0.974
5 Ni 0.000 0.000 0.500
6 Ni 0.000 0.500 0.500
7 Ni 0.244 0.750 0.997
8 Ni 0.256 0.250 0.497
9 Ni 0.500 0.000 0.000
10 Ni 0.500 0.500 0.000
11 Ni 0.744 0.750 0.503
12 Ni 0.756 0.250 0.003
13 O 0.085 0.250 0.660
14 O 0.415 0.750 0.160
15 O 0.585 0.250 0.840
16 O 0.915 0.750 0.340
17 F 0.073 0.750 0.785
18 F 0.169 0.006 0.230
19 F 0.169 0.494 0.230
20 F 0.331 0.506 0.730
21 F 0.331 0.994 0.730
22 F 0.427 0.250 0.285
23 F 0.573 0.750 0.715
24 F 0.669 0.006 0.270
25 F 0.669 0.494 0.270
26 F 0.831 0.506 0.770
27 F 0.831 0.994 0.770
28 F 0.927 0.250 0.215

***

Entry from Alexandria: a relaxed structure of SiGeBi2Au (PBEsol).

Space-group type = P4/mmm (123)
E = -18.9 eV for the cell shown

abc: 5.458 5.458 4.566
angles: 90.00 90.00 90.00
Sites, in units of the cell vectors:
1 Si 0.000 0.000 0.000
2 Ge 0.000 0.000 0.500
3 Bi 0.000 0.500 0.500
4 Bi 0.500 0.000 0.500
5 Au 0.500 0.500 0.000

***

Entry from Alexandria: a relaxed structure of ZnHO2 (PBEsol).

Space-group type = I-42d (122)
E = -33.9 eV for the cell shown

abc: 4.771 4.771 4.771
angles: 128.33 128.33 76.08
Sites, in units of the cell vectors:
1 Zn 0.000 0.000 0.000
2 Zn 0.750 0.250 0.500
3 H 0.250 0.750 0.500
4 H 0.500 0.500 0.000
5 O 0.194 0.625 0.069
6 O 0.375 0.444 0.569
7 O 0.556 0.125 0.931
8 O 0.875 0.806 0.431

***

Entry from Alexandria: a relaxed structure of FeBrN2F (PBEsol).

Space-group type = P4/mmm (123)
E = -27.2 eV for the cell shown

abc: 3.697 3.697 3.837
angles: 90.00 90.00 90.00
Sites, in units of the cell vectors:
1 Fe 0.000 0.000 0.000
2 Br 0.500 0.500 0.500
3 N 0.000 0.500 0.000
4 N 0.500 0.000 0.000
5 F 0.000 0.000 0.500

***

Entry from Alexandria: a relaxed structure of BaLa3 (PBEsol).

Space-group type = Pmmm (47)
Relative energy among the computed polymorphs = 2.83 kJ per mole of atoms
E_form = 103 meV per atom

abc: 3.699 5.250 7.774
angles: 90.00 90.00 90.00
Sites, in units of the cell vectors:
1 Ba 0.000 0.000 0.000
2 La 0.000 0.000 0.500
3 La 0.500 0.500 0.288
4 La 0.500 0.500 0.712

***

Entry from Alexandria: a relaxed structure of ZnFe2Mo (PBEsol).

Space-group type = P2/m (10)
E_form = 155 meV per atom

abc: 2.514 4.098 4.963
angles: 90.00 99.73 90.00
Sites, in units of the cell vectors:
1 Zn 0.000 0.000 0.000
2 Fe 0.251 0.500 0.749
3 Fe 0.749 0.500 0.251
4 Mo 0.500 0.000 0.500

***

Entry from Alexandria: a relaxed structure of Na2TlIn (PBEsol).

Space-group type = Fm-3m (225)
E_form = -66 meV per atom

abc: 5.265 5.265 5.265
angles: 60.00 60.00 60.00
Sites, in units of the cell vectors:
1 Na 0.250 0.250 0.250
2 Na 0.750 0.750 0.750
3 Tl 0.000 0.000 0.000
4 In 0.500 0.500 0.500

***

Entry from Alexandria: a relaxed structure of YMgCu (PBEsol).

Space-group type = P6_3/mmc (194)
Relative energy among the computed polymorphs = 3.90 kJ per mole of atoms
E_form = -157 meV per atom

abc: 4.891 4.891 5.902
angles: 90.00 90.00 120.00
Sites, in units of the cell vectors:
1 Y 0.333 0.667 0.250
2 Y 0.667 0.333 0.750
3 Mg 0.000 0.000 0.000
4 Mg 0.000 0.000 0.500
5 Cu 0.333 0.667 0.750
6 Cu 0.667 0.333 0.250

***

Entry from Alexandria: a relaxed structure of YMg2Sc (PBEsol).

Space-group type = Cm (8)
Relative energy among the computed polymorphs = 6.44 kJ per mole of atoms
E_form = 6 meV per atom

abc: 6.159 6.159 5.305
angles: 115.09 115.09 33.34
Sites, in units of the cell vectors:
1 Y 0.000 0.000 0.000
2 Mg 0.238 0.238 0.740
3 Mg 0.514 0.514 0.513
4 Sc 0.767 0.767 0.268

***

Entry from Alexandria: a relaxed structure of CaZnAu2 (PBEsol).

Space-group type = Pmmm (47)
E_form = -483 meV per atom

abc: 3.272 3.444 6.671
angles: 90.00 90.00 90.00
Sites, in units of the cell vectors:
1 Ca 0.000 0.000 0.000
2 Zn 0.000 0.000 0.500
3 Au 0.500 0.500 0.288
4 Au 0.500 0.500 0.712

***

Entry from Alexandria: a relaxed structure of VCl2O (PBEsol).

Space-group type = C2/c (15)
E = -50.7 eV for the cell shown

abc: 6.624 6.624 6.803
angles: 104.87 104.87 32.59
Sites, in units of the cell vectors:
1 V 0.076 0.924 0.750
2 V 0.924 0.076 0.250
3 Cl 0.131 0.132 0.066
4 Cl 0.132 0.131 0.566
5 Cl 0.868 0.869 0.434
6 Cl 0.869 0.868 0.934
7 O 0.485 0.515 0.250
8 O 0.515 0.485 0.750

***

Entry from Alexandria: a relaxed structure of ZnCu4W5O20 (PBEsol).

Space-group type = P1 (1)
E = -483.7 eV for the cell shown

abc: 4.657 7.462 19.023
angles: 91.15 95.22 92.84
Sites, in units of the cell vectors:
1 Zn 0.000 0.000 0.000
2 Zn 0.011 0.595 0.201
3 Cu 0.008 0.590 0.369
4 Cu 0.979 0.409 0.808
5 Cu 0.984 0.399 0.973
6 Cu 0.988 0.805 0.607
7 Cu 0.990 0.794 0.771
8 Cu 0.998 0.191 0.571
9 Cu 0.998 0.203 0.407
10 Cu 0.998 0.996 0.171
11 W 0.472 0.109 0.873
12 W 0.476 0.503 0.673
13 W 0.481 0.708 0.075
14 W 0.487 0.901 0.472
15 W 0.489 0.696 0.907
16 W 0.491 0.301 0.274
17 W 0.498 0.096 0.706
18 W 0.504 0.293 0.106
19 W 0.510 0.494 0.505
20 W 0.518 0.891 0.304
21 O 0.213 0.637 0.833
22 O 0.223 0.032 0.631
23 O 0.223 0.243 0.032
24 O 0.228 0.287 0.874
25 O 0.233 0.431 0.432
26 O 0.234 0.683 0.674
27 O 0.237 0.837 0.232
28 O 0.241 0.887 0.078
29 O 0.246 0.081 0.474
30 O 0.254 0.481 0.278
31 O 0.259 0.939 0.922
32 O 0.261 0.604 0.982
33 O 0.266 0.002 0.780
34 O 0.268 0.332 0.719
35 O 0.271 0.536 0.123
36 O 0.275 0.399 0.580
37 O 0.277 0.199 0.181
38 O 0.279 0.730 0.519
39 O 0.286 0.128 0.320
40 O 0.287 0.796 0.379
41 O 0.694 0.871 0.862
42 O 0.699 0.798 0.999
43 O 0.702 0.201 0.799
44 O 0.706 0.471 0.061
45 O 0.708 0.267 0.660
46 O 0.711 0.598 0.599
47 O 0.713 0.393 0.198
48 O 0.719 0.664 0.459
49 O 0.722 0.994 0.398
50 O 0.725 0.065 0.259
51 O 0.734 0.520 0.905
52 O 0.741 0.916 0.705
53 O 0.747 0.177 0.946
54 O 0.749 0.116 0.100
55 O 0.750 0.313 0.504
56 O 0.752 0.567 0.747
57 O 0.761 0.711 0.301
58 O 0.761 0.774 0.147
59 O 0.763 0.964 0.546
60 O 0.772 0.363 0.348

***

Entry from Alexandria: a relaxed structure of Cd2InRu (PBEsol).

Space-group type = P4/mmm (123)
Relative energy among the computed polymorphs = 0.00 kJ per mole of atoms
E_form = 169 meV per atom

abc: 4.059 4.059 4.315
angles: 90.00 90.00 90.00
Sites, in units of the cell vectors:
1 Cd 0.000 0.500 0.000
2 Cd 0.500 0.000 0.000
3 In 0.000 0.000 0.500
4 Ru 0.500 0.500 0.500